Material: CoNiRu
Method: DFT, GGA-PBE
State: relaxed

```
CoNiRu
1.0
4.033 0.000 0.000
-2.017 3.493 0.000
0.000 0.000 2.531
Co Ni Ru
1 1 1
Cartesian
0.000 0.000 0.000
2.017 1.164 0.000
0.000 2.329 1.265
```

Summary:
V, Å³/f.u.: 35.7
Distance to the lowest polymorph of the same formula, eV per atom: 0.062
Size of the total moment, μB per formula unit: 0.9

=====

Material: TaF5
Method: DFT, GGA-PBE
State: relaxed

```
TaF5
1.0
5.230 0.000 0.000
-2.160 5.134 0.000
-1.998 -1.081 7.156
Ta F
2 10
Cartesian
0.000 0.000 0.000
1.616 -0.541 3.578
-0.722 1.437 0.989
-1.405 4.355 1.735
-1.275 2.975 4.201
0.068 0.379 4.149
-0.406 -0.094 6.917
1.479 4.147 0.239
1.005 3.674 3.006
2.347 1.078 2.955
2.478 -0.301 5.420
1.794 2.616 6.167
```

Summary:
V, Å³/f.u.: 96.1
Formation energy from raw total energies, eV/atom: -3.1458
Distance to the lowest polymorph of the same formula, eV per atom: 0.077
Size of the total moment, μB per formula unit: 0.0

=====

Material: K2Li3HfF12
Method: DFT, GGA-PBE
State: relaxed

```
K2Li3HfF12
1.0
3.581 2.067 6.145
-3.581 2.067 6.145
0.000 -4.134 6.145
K Li Hf F
2 3 1 12
Cartesian
0.000 0.000 1.970
0.000 0.000 16.463
-1.790 -1.034 6.145
-1.790 1.034 12.289
0.000 2.067 6.145
0.000 0.000 9.217
0.000 -1.956 5.808
-1.694 0.978 5.808
-1.451 -0.838 8.110
-1.694 -0.978 12.625
0.000 -1.675 10.324
-1.451 0.838 10.324
1.451 -0.838 8.110
0.000 1.675 8.110
1.694 0.978 5.808
1.451 0.838 10.324
1.694 -0.978 12.625
0.000 1.956 12.625
```

Summary:
V, Å³/f.u.: 272.9
Formation energy from raw total energies, eV/atom: -2.5963
Size of the total moment, μB per formula unit: 3.0

=====

Material: K2In3SnHg12
Method: DFT, GGA-PBE
State: relaxed

```
K2In3SnHg12
1.0
3.397 1.962 13.574
-3.397 1.962 13.574
0.000 -3.923 13.574
K In Sn Hg
2 3 1 12
Cartesian
0.000 0.000 5.764
0.000 0.000 34.956
-1.699 -0.981 13.574
-1.699 0.981 27.147
0.000 1.962 13.573
0.000 0.000 20.360
0.000 -2.152 11.330
-1.864 1.076 11.330
-1.764 -1.019 18.102
-1.864 -1.076 29.391
0.000 -2.037 22.619
-1.764 1.019 22.619
1.764 -1.019 18.102
0.000 2.037 18.102
1.864 1.076 11.329
1.764 1.019 22.619
1.864 -1.076 29.391
0.000 2.152 29.391
```

Summary:
Electronic total energy, Ry/atom: -0.078
V, Å³/f.u.: 542.7
Size of the total moment, μB per formula unit: 0.0